An optimized crystal structure of Ge2Os2O5. Source: the Open Quantum Materials Database, functional PBE.

Output
* offset from the most stable computed form: 0.00 kJ per mole of atoms
* magnetic moment: 0.03 μB/f.u.

Lattice parameters (Å, degrees): 6.608 3.951 3.951 90.00 90.00 90.00
Atoms (fractional coordinates):
Ge 0.000 0.000 0.000
Ge 0.500 0.000 0.000
O 0.238 0.500 0.000
O 0.762 0.500 0.000
O 0.238 0.000 0.500
O 0.762 0.000 0.500
O 0.500 0.500 0.500
Os 0.184 0.500 0.500
Os 0.816 0.500 0.500

An optimized crystal structure of GeOsPb2O6. Source: the Open Quantum Materials Database, functional PBE.

Output
* final energy: -62.98 eV/cell
* magnetic moment: 2.07 μB/f.u.

Lattice parameters (Å, degrees): 5.571 5.571 5.571 120.08 120.08 89.86
Site moments in Bohr magnetons follow the coordinates.
Atoms (fractional coordinates):
Ge 0.000 0.000 0.000  0.00
O 0.757 0.243 0.000  0.09
O 0.243 0.243 0.000  0.09
O 0.757 0.757 0.000  0.09
O 0.243 0.757 0.000  0.09
O 0.243 0.243 0.485  0.09
O 0.757 0.757 0.515  0.09
Os 0.500 0.500 0.000  1.38
Pb 0.750 0.250 0.500  0.00
Pb 0.250 0.750 0.500  0.00

An optimized crystal structure of GePPdO. Source: the Open Quantum Materials Database, functional PBE.

Output
* offset from the most stable computed form: 12.46 kJ per mole of atoms

Lattice parameters (Å, degrees): 3.864 3.864 8.956 90.00 90.00 90.00
Atoms (fractional coordinates):
Ge 0.000 0.500 0.106
Ge 0.500 0.000 0.894
O 0.000 0.000 0.000
O 0.500 0.500 0.000
P 0.500 0.000 0.346
P 0.000 0.500 0.654
Pd 0.000 0.000 0.500
Pd 0.500 0.500 0.500

An optimized crystal structure of GePPdO. Source: the Open Quantum Materials Database, functional PBE.

Output
* offset from the most stable computed form: 17.48 kJ per mole of atoms

Lattice parameters (Å, degrees): 3.162 6.589 6.385 90.00 90.00 90.00
Atoms (fractional coordinates):
Ge 0.000 0.160 0.474
Ge 0.000 0.840 0.974
O 0.500 0.303 0.406
O 0.500 0.697 0.906
P 0.000 0.827 0.345
P 0.000 0.173 0.845
Pd 0.500 0.330 0.029
Pd 0.500 0.670 0.529

An optimized crystal structure of GePPdO. Source: the Open Quantum Materials Database, functional PBE.

Output
* offset from the most stable computed form: 72.85 kJ per mole of atoms

Lattice parameters (Å, degrees): 4.144 4.144 7.718 90.00 90.00 90.00
Atoms (fractional coordinates):
Ge 0.000 0.000 0.500
Ge 0.500 0.500 0.500
O 0.000 0.000 0.000
O 0.500 0.500 0.000
P 0.500 0.000 0.324
P 0.000 0.500 0.676
Pd 0.000 0.500 0.059
Pd 0.500 0.000 0.941

An optimized crystal structure of GePPdO. Source: the Open Quantum Materials Database, functional PBE.

Output
* offset from the most stable computed form: 0.00 kJ per mole of atoms

Lattice parameters (Å, degrees): 3.773 8.073 4.487 90.00 90.00 90.00
Atoms (fractional coordinates):
Ge 0.000 0.863 0.006
Ge 0.000 0.137 0.506
O 0.000 0.920 0.399
O 0.000 0.080 0.899
P 0.500 0.304 0.422
P 0.500 0.696 0.922
Pd 0.500 0.597 0.427
Pd 0.500 0.403 0.927

An optimized crystal structure of Pr3GePO9. Source: the Open Quantum Materials Database, functional PBE.

Output
* final energy: -437.16 eV/cell
* magnetic moment: 0.00 μB/f.u.

Lattice parameters (Å, degrees): 7.039 12.469 9.152 90.00 107.11 90.00
Atoms (fractional coordinates):
Ge 0.041 0.896 0.236
Ge 0.459 0.396 0.264
Ge 0.541 0.604 0.736
Ge 0.959 0.104 0.764
O 0.417 0.702 0.037
O 0.148 0.925 0.084
O 0.827 0.445 0.107
O 0.106 0.661 0.108
O 0.286 0.324 0.122
O 0.494 0.079 0.124
O 0.821 0.826 0.135
O 0.905 0.253 0.154
O 0.512 0.528 0.220
O 0.988 0.028 0.280
O 0.595 0.753 0.346
O 0.679 0.326 0.365
O 0.006 0.579 0.376
O 0.214 0.824 0.378
O 0.394 0.161 0.392
O 0.673 0.945 0.393
O 0.352 0.425 0.416
O 0.083 0.202 0.463
O 0.917 0.798 0.537
O 0.648 0.575 0.584
O 0.327 0.055 0.607
O 0.606 0.839 0.608
O 0.786 0.176 0.622
O 0.994 0.421 0.624
O 0.321 0.674 0.635
O 0.405 0.247 0.654
O 0.012 0.972 0.720
O 0.488 0.472 0.780
O 0.095 0.747 0.846
O 0.179 0.174 0.865
O 0.506 0.921 0.876
O 0.714 0.676 0.878
O 0.894 0.339 0.892
O 0.173 0.555 0.893
O 0.852 0.075 0.916
O 0.583 0.298 0.963
P 0.801 0.335 0.025
P 0.699 0.835 0.475
P 0.301 0.165 0.525
P 0.199 0.665 0.975
Pr 0.487 0.890 0.125
Pr 0.166 0.133 0.130
Pr 0.758 0.630 0.145
Pr 0.742 0.130 0.355
Pr 0.334 0.633 0.370
Pr 0.013 0.390 0.375
Pr 0.987 0.610 0.625
Pr 0.666 0.367 0.630
Pr 0.258 0.870 0.645
Pr 0.242 0.370 0.855
Pr 0.834 0.867 0.870
Pr 0.513 0.110 0.875

An optimized crystal structure of GePPtO. Source: the Open Quantum Materials Database, functional PBE.

Output
* offset from the most stable computed form: 5.13 kJ per mole of atoms
* magnetic moment: 0.01 μB/f.u.

Lattice parameters (Å, degrees): 3.877 3.877 9.057 90.00 90.00 90.00
Atoms (fractional coordinates):
Ge 0.000 0.500 0.105
Ge 0.500 0.000 0.895
O 0.000 0.000 0.000
O 0.500 0.500 0.000
P 0.500 0.000 0.345
P 0.000 0.500 0.655
Pt 0.000 0.000 0.500
Pt 0.500 0.500 0.500